(1)
Below is a relaxed La2TbNd2Y4 crystal, with properties calculated at the PBE-GGA level.

a b c (Å): 9.6790 9.6790 9.7402
angles (deg): 115.22 115.22 21.85
Fractional positions:
La 0.1648 0.1648 0.9996
La 0.8352 0.8352 0.0004
Tb 0.5000 0.5000 0.0000
Nd 0.3526 0.3526 0.3363
Nd 0.6474 0.6474 0.6637
Y 0.0202 0.0202 0.3330
Y 0.3150 0.3150 0.6635
Y 0.6850 0.6850 0.3365
Y 0.9798 0.9798 0.6670

Values from the calculation:
symmetry = C2/m (12)
formation enthalpy at 0 K = 0.00 eV per atom
calculated volume = 306.0 Å³/f.u.


(2)
Below is a relaxed KBaNaMg crystal, with properties calculated at the PBE-GGA level.

a b c (Å): 6.3889 6.3889 6.3889
angles (deg): 60.00 60.00 60.00
Fractional positions:
K 0.0000 0.0000 0.0000
Ba 0.5000 0.5000 0.5000
Na 0.2500 0.2500 0.2500
Mg 0.7500 0.7500 0.7500

Values from the calculation:
symmetry = F-43m (216)
formation enthalpy at 0 K = 0.10 eV per atom
calculated volume = 184.4 Å³/f.u.


(3)
Below is a relaxed Na4YZr3Se8 crystal, with properties calculated at the PBE-GGA level.

a b c (Å): 8.4632 8.4632 8.4632
angles (deg): 55.14 55.14 55.14
Fractional positions:
Na 0.0000 0.0000 0.0000
Na 0.0000 0.5000 0.5000
Na 0.5000 0.0000 0.5000
Na 0.5000 0.5000 0.0000
Y 0.5000 0.5000 0.5000
Zr 0.0000 0.0000 0.5000
Zr 0.0000 0.5000 0.0000
Zr 0.5000 0.0000 0.0000
Se 0.2338 0.7475 0.7475
Se 0.2418 0.2418 0.2418
Se 0.2525 0.2525 0.7662
Se 0.2525 0.7662 0.2525
Se 0.7475 0.2338 0.7475
Se 0.7475 0.7475 0.2338
Se 0.7582 0.7582 0.7582
Se 0.7662 0.2525 0.2525

Values from the calculation:
symmetry = R-3m (166)
ΔE_f (raw) = -1.389 eV per atom
calculated volume = 380.1 Å³/f.u.